Entry 1:
This record from the Alexandria database describes a geometry-optimized NaLaMnS2 structure. The functional is PBE.

The calculation puts the energy relative to the elements, uncorrected at 87 meV per atom. The total energy is -4.647 eV/atom. As for the energy above the most stable polymorph in this dataset: 114 kJ/mol of formula units.

Cell: 5.429 5.429 6.427 Å, 90.00 90.00 90.00°
Space group P4/mmm (No. 123)
Inequivalent atoms, fractional coordinates:
Na  0.000  0.000  0.000 (multiplicity 1)
La  0.000  0.000  0.500 (multiplicity 1)
Mn  0.500  0.500  0.000 (multiplicity 1)
S  0.000  0.500  0.500 (multiplicity 2)

Entry 2:
This record from the Alexandria database describes a geometry-optimized NaLaMnS2 structure. The functional is PBE.

The calculation puts the energy relative to the elements, uncorrected at -148 meV per atom. The total energy is -4.882 eV/atom. As for the energy above the most stable polymorph in this dataset: 0 kJ/mol of formula units.

Cell: 4.991 4.991 4.560 Å, 90.00 90.00 90.00°
Space group P4/mmm (No. 123)
Inequivalent atoms, fractional coordinates:
Na  0.000  0.000  0.000 (multiplicity 1)
La  0.500  0.500  0.500 (multiplicity 1)
Mn  0.000  0.000  0.500 (multiplicity 1)
S  0.000  0.500  0.000 (multiplicity 2)

Entry 3:
This record from the Alexandria database describes a geometry-optimized Na2LaMnS4 structure. The functional is PBE.

The calculation puts the energy relative to the elements, uncorrected at -1251 meV per atom. The total energy is -5.407 eV/atom.

Cell: 7.458 8.375 11.564 Å, 90.00 90.00 90.00°
Space group Imma (No. 74)
Inequivalent atoms, fractional coordinates:
Na  0.000  0.000  0.000 (multiplicity 4)
Na  0.250  0.250  0.250 (multiplicity 4)
La  0.000  0.000  0.500 (multiplicity 4)
Mn  0.250  0.250  0.750 (multiplicity 4)
S  0.000  0.064  0.752 (multiplicity 8)
S  0.249  0.250  0.009 (multiplicity 8)

Entry 4:
This record from the Alexandria database describes a geometry-optimized Na3La2MnS6 structure. The functional is PBE.

The calculation puts the energy relative to the elements, uncorrected at -1439 meV per atom. The total energy is -5.417 eV/atom.

Cell: 6.967 12.147 7.058 Å, 90.00 108.97 90.00°
Space group C2/m (No. 12)
Inequivalent atoms, fractional coordinates:
Na  0.000  0.000  0.000 (multiplicity 2)
Na  0.000  0.335  0.000 (multiplicity 4)
La  0.000  0.169  0.500 (multiplicity 4)
Mn  0.000  0.500  0.500 (multiplicity 2)
S  0.214  0.500  0.293 (multiplicity 4)
S  0.234  0.346  0.733 (multiplicity 8)

Entry 5:
This record from the Alexandria database describes a geometry-optimized NaLa2MnSe structure. The functional is PBE.

The calculation puts the energy relative to the elements, uncorrected at -78 meV per atom. The total energy is -4.844 eV/atom. As for the energy above the most stable polymorph in this dataset: 0 kJ/mol of formula units.

Cell: 5.843 5.843 4.378 Å, 90.00 90.00 90.00°
Space group P4/mmm (No. 123)
Inequivalent atoms, fractional coordinates:
Na  0.000  0.000  0.000 (multiplicity 1)
La  0.000  0.500  0.500 (multiplicity 2)
Mn  0.500  0.500  0.000 (multiplicity 1)
Se  0.500  0.500  0.500 (multiplicity 1)

Entry 6:
This record from the Alexandria database describes a geometry-optimized NaLa2MnSe structure. The functional is PBE.

The calculation puts the energy relative to the elements, uncorrected at 586 meV per atom. The total energy is -4.179 eV/atom. As for the energy above the most stable polymorph in this dataset: 320 kJ/mol of formula units.

Cell: 5.749 5.749 4.646 Å, 90.00 90.00 90.00°
Space group P4/mmm (No. 123)
Inequivalent atoms, fractional coordinates:
Na  0.000  0.000  0.000 (multiplicity 1)
La  0.000  0.500  0.000 (multiplicity 2)
Mn  0.000  0.000  0.500 (multiplicity 1)
Se  0.500  0.500  0.500 (multiplicity 1)

Entry 7:
This record from the Alexandria database describes a geometry-optimized Na2LaMnTe4 structure. The functional is PBE.

The calculation puts the energy relative to the elements, uncorrected at -854 meV per atom. The total energy is -4.517 eV/atom.

Cell: 7.571 4.408 7.965 Å, 90.00 108.57 90.00°
Space group P2/m (No. 10)
Inequivalent atoms, fractional coordinates:
Na  0.000  0.000  0.000 (multiplicity 1)
Na  0.500  0.500  0.000 (multiplicity 1)
La  0.000  0.500  0.500 (multiplicity 1)
Mn  0.500  0.000  0.500 (multiplicity 1)
Te  0.278  0.000  0.730 (multiplicity 2)
Te  0.287  0.500  0.282 (multiplicity 2)

Entry 8:
This record from the Alexandria database describes a geometry-optimized NaLaMnTl2 structure. The functional is PBE.

The calculation puts the formation energy at 0.3 eV per formula unit. The total energy is -3.961 eV/atom.

Cell: 5.317 5.317 4.934 Å, 90.00 90.00 90.00°
Space group P4/mmm (No. 123)
Inequivalent atoms, fractional coordinates:
Na  0.000  0.000  0.000 (multiplicity 1)
La  0.500  0.500  0.000 (multiplicity 1)
Mn  0.500  0.500  0.500 (multiplicity 1)
Tl  0.000  0.500  0.500 (multiplicity 2)

Entry 9:
This record from the Alexandria database describes a geometry-optimized La2MnNb structure. The functional is PBE.

The calculation puts the formation energy at 1.9 eV per formula unit. The total energy is -6.789 eV/atom. As for the energy above the most stable polymorph in this dataset: 0 kJ/mol of formula units.

Cell: 7.426 7.426 7.426 Å, 90.00 90.00 90.00°
Space group Fm-3m (No. 225)
Inequivalent atoms, fractional coordinates:
La  0.250  0.250  0.250 (multiplicity 8)
Mn  0.000  0.000  0.000 (multiplicity 4)
Nb  0.000  0.000  0.500 (multiplicity 4)

Entry 10:
This record from the Alexandria database describes a geometry-optimized LaMn2Nb structure. The functional is PBE.

The calculation puts the formation energy at 2.1 eV per formula unit. The total energy is -7.816 eV/atom. As for the energy above the most stable polymorph in this dataset: 0 kJ/mol of formula units.

Cell: 6.494 6.494 6.494 Å, 90.00 90.00 90.00°
Space group Fm-3m (No. 225)
Inequivalent atoms, fractional coordinates:
La  0.000  0.000  0.000 (multiplicity 4)
Mn  0.250  0.250  0.250 (multiplicity 8)
Nb  0.000  0.000  0.500 (multiplicity 4)

Entry 11:
This record from the Alexandria database describes a geometry-optimized La2Mn2Nb structure. The functional is PBE.

The calculation puts the formation energy at 1.9 eV per formula unit. The total energy is -7.267 eV/atom.

Cell: 6.587 6.587 5.008 Å, 90.00 90.00 90.00°
Space group P4/mbm (No. 127)
Inequivalent atoms, fractional coordinates:
La  0.180  0.320  0.000 (multiplicity 4)
Mn  0.121  0.621  0.500 (multiplicity 4)
Nb  0.000  0.000  0.500 (multiplicity 2)

Entry 12:
This record from the Alexandria database describes a geometry-optimized La2MnNb structure. The functional is PBE.

The calculation puts the formation energy at 3.1 eV per formula unit. The total energy is -6.506 eV/atom. As for the energy above the most stable polymorph in this dataset: 109 kJ/mol of formula units.

Cell: 8.190 8.190 6.097 Å, 90.00 90.00 90.00°
Space group I-42d (No. 122)
Inequivalent atoms, fractional coordinates:
La  0.239  0.250  0.125 (multiplicity 8)
Mn  0.000  0.000  0.000 (multiplicity 4)
Nb  0.000  0.000  0.500 (multiplicity 4)

So what do the calculations give for V? Going down the list: 189.45; 113.56; 722.33; 564.83; 149.45; 153.57; 251.97; 139.47; 409.55; 273.85; 217.26; 408.95 Å³ per cell.